LaCd3 (meta-GGA SCAN, PBEsol geometry); symmetry = P-6m2
1.0
-0.498 2.685 -1.782
-2.484 -1.376 1.604
2.089 5.888 8.288
Cd La
3 1
direct
0.333 0.667 0.228 Cd
0.333 0.667 0.772 Cd
0.000 0.000 0.000 Cd
0.000 0.000 0.500 La

***

La3Cd (meta-GGA SCAN, PBEsol geometry); symmetry = Imm2
1.0
3.633 0.000 0.000
0.000 6.016 0.000
-1.816 -3.008 5.650
Cd La
1 3
direct
0.000 0.993 0.000 Cd
0.274 0.930 0.549 La
0.500 0.529 0.000 La
0.726 0.381 0.451 La

***

Number 1: ΔH_f (0 K) -0.06 eV per atom, volume 23.90 Å³/atom. Number 2: ΔH_f (0 K) -0.21 eV per atom, volume 30.87 Å³/atom.